KBe2As after structural relaxation, computed with PBEsol. Values from VASP.

```
&SYSTEM
  ibrav = 0, nat = 8, ntyp = 3
/
ATOMIC_SPECIES
K 39.10 K.upf
Be 9.01 Be.upf
As 74.92 As.upf
CELL_PARAMETERS angstrom
7.778 0.000 0.000
0.000 3.758 0.000
-1.257 0.000 5.754
ATOMIC_POSITIONS angstrom
K 0.000 0.000 0.000
K 3.889 1.879 0.000
Be 0.855 0.000 3.055
Be 1.777 1.879 2.699
Be 4.744 1.879 3.055
Be 5.665 0.000 2.699
As -0.629 1.879 2.877
As 3.260 0.000 2.877
```

**DOS(E_F)**: 0.432 states/eV per atom
**ΔE_f**: 0.310 eV per atom
**Mass density**: 2.6 g cm⁻³
**Space group**: No. 12